{"formula": "Ta2CrTe", "functional": "PBE-GGA", "state": "relaxed", "lattice_angstrom": [[5.340, -0.012, 0.029], [4.280, 3.193, 0.029], [1.931, 0.638, 4.056]], "species": ["Cr", "Ta", "Ta", "Te"], "frac_coords": [[0.254, 0.254, 0.244], [0.981, 0.981, 0.020], [0.747, 0.747, 0.753], [0.518, 0.518, 0.483]], "rho_g_cm3": 13.0, "e_form_raw_ev_per_fu": 1.10}

***

{"formula": "TaCrTe", "functional": "PBE-GGA", "state": "relaxed", "lattice_angstrom": [[4.408, 0.000, 0.000], [-2.204, 3.818, 0.000], [0.000, 0.000, 3.109]], "species": ["Cr", "Ta", "Te"], "frac_coords": [[0.000, 0.000, 0.892], [0.667, 0.333, 0.282], [0.333, 0.667, 0.826]], "de_polymorph_kj_per_mol_atoms": 36.4, "rho_g_cm3": 11.4, "e_form_raw_ev_per_fu": 1.31}

***

{"formula": "TaCrTe", "functional": "PBE-GGA", "state": "relaxed", "lattice_angstrom": [[0.030, 4.636, -2.102], [-1.448, 0.768, -4.819], [-1.622, -2.343, 4.217]], "species": ["Cr", "Ta", "Te"], "frac_coords": [[0.007, 0.007, 0.000], [0.660, 0.660, 0.000], [0.332, 0.332, 0.000]], "de_polymorph_kj_per_mol_atoms": 28.2, "rho_g_cm3": 11.0, "e_form_raw_ev_per_fu": 1.06}

***

{"formula": "TaCrTe2", "functional": "PBE-GGA", "state": "relaxed", "lattice_angstrom": [[4.914, 0.000, 0.000], [2.457, 4.256, 0.000], [2.457, 1.419, 4.013]], "species": ["Cr", "Ta", "Te", "Te"], "frac_coords": [[0.500, 0.500, 0.500], [0.250, 0.250, 0.250], [0.000, 0.000, 0.000], [0.750, 0.750, 0.750]], "de_polymorph_kj_per_mol_atoms": 85.4, "rho_g_cm3": 9.7, "e_form_raw_ev_per_fu": 3.14}